Record 1
The following is a DFT calculation (PBE) of a relaxed TiMnGaPb2 crystal.

Lattice parameters (Å, degrees): 5.0420 4.6534 5.0420 90.00 90.00 90.00
Last column: nearest neighbours and their distance in Å.
Atoms (fractional coordinates):
Pb 0.0000 0.0000 0.5000  2 Mn 2.52
Pb 0.5000 0.0000 0.0000  2 Mn 2.52
Mn 0.0000 0.0000 0.0000  2 Ga 2.33, 4 Pb 2.52
Ga 0.0000 0.5000 0.0000  2 Mn 2.33
Ti 0.5000 0.5000 0.5000  8 Pb 3.43, 4 Ga 3.57

- raw total energy (eV/f.u.) = -23.643
- total magnetic moment (μB/atom) = 0.022
- DFT formation energy (eV/atom) = 0.77

---

Record 2
The following is a DFT calculation (PBE) of a relaxed MnGaPd4 crystal.

Lattice parameters (Å, degrees): 4.1605 4.1617 7.2290 73.34 73.28 60.01
Last column: nearest neighbours and their distance in Å.
Atoms (fractional coordinates):
Mn 0.0000 0.0000 0.0000  8 Pd 2.56-2.58
Ga 0.5000 0.5000 0.5000  8 Pd 2.52-2.54
Pd 0.6230 0.6231 0.1310  1 Ga 2.52, 3 Mn 2.56
Pd 0.3770 0.3769 0.8690  1 Ga 2.52, 3 Mn 2.56
Pd 0.1262 0.1263 0.6212  3 Ga 2.54, 1 Mn 2.58
Pd 0.8738 0.8737 0.3788  3 Ga 2.54, 1 Mn 2.58

- raw total energy (eV/f.u.) = -34.329
- total magnetic moment (μB/atom) = 0.725
- DFT formation energy (eV/atom) = -0.23

---

Record 3
The following is a DFT calculation (PBE) of a relaxed MnGaPd2 crystal.

Lattice parameters (Å, degrees): 3.6470 4.0421 4.0421 90.00 90.00 90.00
Last column: nearest neighbours and their distance in Å.
Atoms (fractional coordinates):
Mn 0.5000 0.0000 0.0000  8 Pd 2.72, 4 Ga 2.86
Ga 0.5000 0.5000 0.5000  8 Pd 2.72, 4 Mn 2.86
Pd 0.0000 0.0000 0.5000  4 Mn 2.72, 4 Ga 2.72, 4 Pd 2.86
Pd 0.0000 0.5000 0.0000  4 Mn 2.72, 4 Ga 2.72, 4 Pd 2.86

- raw total energy (eV/f.u.) = -24.296
- total magnetic moment (μB/atom) = 1.049
- DFT formation energy (eV/atom) = -0.43

---

Record 4
The following is a DFT calculation (PBE) of a relaxed Mn2Ga4Pd crystal.

Lattice parameters (Å, degrees): 5.1972 5.1972 5.1972 115.65 106.47 106.47
Last column: nearest neighbours and their distance in Å.
Atoms (fractional coordinates):
Mn 0.5000 0.5000 0.0000  8 Ga 2.60, 2 Mn 2.77
Mn 0.5000 0.0000 0.5000  8 Ga 2.60, 2 Mn 2.77
Ga 0.5000 0.0000 0.0000  4 Mn 2.60, 2 Pd 2.60, 2 Ga 2.77
Ga 0.5000 0.5000 0.5000  4 Mn 2.60, 2 Pd 2.60, 2 Ga 2.77
Ga 0.0000 0.0000 0.5000  4 Mn 2.60, 2 Pd 2.60, 2 Ga 2.77
Ga 0.0000 0.5000 0.0000  2 Pd 2.60, 4 Mn 2.60, 2 Ga 2.77
Pd 0.0000 0.0000 0.0000  8 Ga 2.60

- raw total energy (eV/f.u.) = -37.026
- total magnetic moment (μB/atom) = 0.631
- DFT formation energy (eV/atom) = -0.20

---

Record 5
The following is a DFT calculation (PBE) of a relaxed MnGa2Pd4 crystal.

Lattice parameters (Å, degrees): 6.5905 5.4049 6.9350 90.00 118.47 90.00
Last column: nearest neighbours and their distance in Å.
Atoms (fractional coordinates):
Mn 0.2668 0.7500 0.3422  4 Pd 2.48-2.74, 3 Ga 2.56-2.71
Mn 0.7332 0.2500 0.6578  4 Pd 2.48-2.74, 3 Ga 2.56-2.71
Ga 0.7927 0.7500 0.0690  8 Pd 2.57-2.77, 1 Mn 2.78, 1 Ga 2.83
Ga 0.2073 0.2500 0.9310  8 Pd 2.57-2.77, 1 Mn 2.78, 1 Ga 2.83
Ga 0.3042 0.2500 0.3742  6 Pd 2.53-2.76, 3 Mn 2.56-2.71, 1 Ga 2.83
Ga 0.6958 0.7500 0.6258  6 Pd 2.53-2.76, 3 Mn 2.56-2.71, 1 Ga 2.83
Pd 0.5623 0.4977 0.2380  4 Ga 2.66-2.76, 4 Pd 2.68-2.95, 2 Mn 2.74-2.90
Pd 0.1145 0.7500 0.9285  1 Mn 2.55, 4 Ga 2.55-2.77, 1 Pd 2.74
Pd 0.8855 0.2500 0.0715  1 Mn 2.55, 4 Ga 2.55-2.77, 1 Pd 2.74
Pd 0.5623 0.0023 0.2380  4 Ga 2.66-2.76, 4 Pd 2.68-2.95, 2 Mn 2.74-2.90
Pd 0.0088 0.2500 0.5094  1 Mn 2.48, 2 Ga 2.53-2.57, 3 Pd 2.71-2.74
Pd 0.4377 0.9977 0.7620  4 Ga 2.66-2.76, 4 Pd 2.68-2.95, 2 Mn 2.74-2.90
Pd 0.4377 0.5023 0.7620  4 Ga 2.66-2.76, 4 Pd 2.68-2.95, 2 Mn 2.74-2.90
Pd 0.9912 0.7500 0.4906  1 Mn 2.48, 2 Ga 2.53-2.57, 3 Pd 2.71-2.74

- raw total energy (eV/f.u.) = -38.284
- total magnetic moment (μB/atom) = 0.559
- DFT formation energy (eV/atom) = -0.33

---

Record 6
The following is a DFT calculation (PBE) of a relaxed Mn3GaPd crystal.

Lattice parameters (Å, degrees): 4.2761 4.2761 4.2761 90.00 90.00 90.00
Last column: nearest neighbours and their distance in Å.
Atoms (fractional coordinates):
Mn 0.0000 0.5000 0.0000  2 Ga 2.14
Mn 0.0000 0.0000 0.5000  2 Ga 2.14
Mn 0.5000 0.0000 0.0000  2 Ga 2.14
Ga 0.0000 0.0000 0.0000  6 Mn 2.14
Pd 0.5000 0.5000 0.5000  12 Mn 3.02

- raw total energy (eV/f.u.) = -27.965
- total magnetic moment (μB/atom) = 0.000
- DFT formation energy (eV/atom) = 1.55

---

Record 7
The following is a DFT calculation (PBE) of a relaxed Mn2GaPd8 crystal.

Lattice parameters (Å, degrees): 2.8858 7.0582 8.2796 104.32 100.04 90.00
Last column: nearest neighbours and their distance in Å.
Atoms (fractional coordinates):
Mn 0.7512 0.3960 0.5024  2 Mn 2.07
Mn 0.2488 0.6040 0.4976  2 Mn 2.07
Ga 0.5000 0.0000 0.0000  8 Pd 2.57-2.61
Pd 0.3946 0.5363 0.7893  3 Mn 2.54-2.71, 7 Pd 2.77-2.84
Pd 0.6912 0.8564 0.3824  2 Mn 2.64, 10 Pd 2.77-2.89
Pd 0.8648 0.8586 0.7296  2 Ga 2.61, 2 Mn 2.68, 7 Pd 2.81-2.89
Pd 0.9628 0.2680 0.9256  2 Ga 2.57, 6 Pd 2.79-2.84
Pd 0.1352 0.1414 0.2704  2 Ga 2.61, 2 Mn 2.68, 7 Pd 2.81-2.89
Pd 0.3088 0.1436 0.6176  2 Mn 2.64, 10 Pd 2.77-2.89
Pd 0.6054 0.4637 0.2107  3 Mn 2.54-2.71, 7 Pd 2.77-2.84
Pd 0.0372 0.7320 0.0744  2 Ga 2.57, 6 Pd 2.79-2.84

- ΔE to the lowest computed polymorph (kJ/mol of atoms) = 11.1
- raw total energy (eV/f.u.) = -64.274
- total magnetic moment (μB/atom) = 0.000
- DFT formation energy (eV/atom) = -0.12

---

Record 8
The following is a DFT calculation (PBE) of a relaxed MnGa2Pd3 crystal.

Lattice parameters (Å, degrees): 3.1491 3.1491 9.0738 90.00 90.00 90.00
Last column: nearest neighbours and their distance in Å.
Atoms (fractional coordinates):
Mn 0.5000 0.5000 0.5000  8 Pd 2.72, 2 Ga 3.01
Ga 0.5000 0.5000 0.8315  8 Pd 2.66-2.70
Ga 0.5000 0.5000 0.1685  8 Pd 2.66-2.70
Pd 0.0000 0.0000 0.0000  8 Ga 2.70, 2 Pd 2.98
Pd 0.0000 0.0000 0.6717  4 Ga 2.66, 4 Mn 2.72
Pd 0.0000 0.0000 0.3283  4 Ga 2.66, 4 Mn 2.72

- ΔE to the lowest computed polymorph (kJ/mol of atoms) = 1.4
- raw total energy (eV/f.u.) = -33.559
- total magnetic moment (μB/atom) = 0.683
- DFT formation energy (eV/atom) = -0.46